# Er4TcSn PBE relaxed
# - Formation energy: -368 meV/atom
# - Fermi-level density of states: 10.7 states/eV per cell
data_Er4TcSn
_symmetry_space_group_name_H-M 'P 1'
_symmetry_Int_Tables_number 1
_symmetry_space_group_name_Hall 'P 1'
_cell_length_a 6.107
_cell_length_b 8.490
_cell_length_c 7.980
_cell_angle_alpha 114.63
_cell_angle_beta 102.86
_cell_angle_gamma 107.51
loop_
_atom_site_label
_atom_site_fract_x
_atom_site_fract_y
_atom_site_fract_z
Er1 0.049 0.208 0.858
Er2 0.785 0.721 0.663
Er3 0.309 0.650 0.858
Er4 0.378 0.942 0.663
Er5 0.622 0.058 0.337
Er6 0.691 0.350 0.142
Er7 0.215 0.279 0.337
Er8 0.951 0.792 0.142
Tc1 0.250 0.000 0.001
Tc2 0.750 0.000 0.999
Sn1 0.379 0.629 0.258
Sn2 0.621 0.371 0.742